Record 1
# V3Ir5Rh12, relaxed, DFT PBE
data_V3Ir5Rh12
_space_group_name_H-M_alt 'I a -3 d'
_space_group_IT_number 230
_space_group_name_Hall '-I 4bd 2c 3'
_cell_length_a 14.2869
_cell_length_b 14.2869
_cell_length_c 14.2869
_cell_angle_alpha 90.00
_cell_angle_beta 90.00
_cell_angle_gamma 90.00
loop_
_atom_site_label
_atom_site_fract_x
_atom_site_fract_y
_atom_site_fract_z
V1 0.0000 0.2500 0.1250
Ir1 0.0000 0.0000 0.0000
Ir2 0.0000 0.2500 0.3750
Rh1 0.0151 0.0820 0.6510
# Formation energy = 0.619 eV/atom
# Magnetic moment = 0.01 Bohr magnetons per cell

Record 2
# V3Ir3Rh2, relaxed, DFT PBE
data_V3Ir3Rh2
_space_group_name_H-M_alt 'I m m m'
_space_group_IT_number 71
_space_group_name_Hall '-I 2 2'
_cell_length_a 3.7323
_cell_length_b 3.8563
_cell_length_c 15.5143
_cell_angle_alpha 90.00
_cell_angle_beta 90.00
_cell_angle_gamma 90.00
loop_
_atom_site_label
_atom_site_fract_x
_atom_site_fract_y
_atom_site_fract_z
V1 0.0000 0.0000 0.0000
V2 0.0000 0.5000 0.1265
Ir1 0.0000 0.0000 0.5000
Ir2 0.0000 0.5000 0.3759
Rh1 0.0000 0.0000 0.2519
# Formation energy = -0.423 eV/atom
# Magnetic moment = 0.00 Bohr magnetons per cell

Record 3
# V3IrRh2, relaxed, DFT PBE
data_V3IrRh2
_space_group_name_H-M_alt 'C m m m'
_space_group_IT_number 65
_space_group_name_Hall '-C 2 2'
_cell_length_a 3.8891
_cell_length_b 11.6361
_cell_length_c 7.3218
_cell_angle_alpha 90.00
_cell_angle_beta 90.00
_cell_angle_gamma 90.00
loop_
_atom_site_label
_atom_site_fract_x
_atom_site_fract_y
_atom_site_fract_z
V1 0.0000 0.0000 0.2492
V2 0.0000 0.3330 0.2494
Ir1 0.0000 0.1660 0.0000
Rh1 0.0000 0.1667 0.5000
Rh2 0.0000 0.5000 0.0000
Rh3 0.0000 0.5000 0.5000
# Formation energy = -0.416 eV/atom
# Magnetic moment = 0.00 Bohr magnetons per cell

Record 4
# VIrRh3, relaxed, DFT PBE
data_VIrRh3
_space_group_name_H-M_alt 'P m -3 m'
_space_group_IT_number 221
_space_group_name_Hall '-P 4 2 3'
_cell_length_a 4.4006
_cell_length_b 4.4006
_cell_length_c 4.4006
_cell_angle_alpha 90.00
_cell_angle_beta 90.00
_cell_angle_gamma 90.00
loop_
_atom_site_label
_atom_site_fract_x
_atom_site_fract_y
_atom_site_fract_z
V1 0.0000 0.0000 0.0000
Ir1 0.5000 0.5000 0.5000
Rh1 0.0000 0.0000 0.5000
# Formation energy = 1.061 eV/atom
# Magnetic moment = 0.00 Bohr magnetons per cell